# 1
! PBE Cu2ReS4, relaxed; values from VASP
! Space group ... C2/m, No. 12
! Calculated volume ... 119 Å³/cell
! Total energy ... -37.1 eV for the cell shown
&SYSTEM
  ibrav = 0, nat = 7, ntyp = 3
/
ATOMIC_SPECIES
Cu 63.55 Cu.upf
Re 186.21 Re.upf
S 32.06 S.upf
ATOMIC_POSITIONS crystal
Cu 0.0000 0.5000 0.0000
Cu 0.5000 0.0000 0.0000
Re 0.0000 0.0000 0.5000
S 0.2345 0.7655 0.5000
S 0.2418 0.2418 0.0025
S 0.7582 0.7582 0.9975
S 0.7655 0.2345 0.5000
CELL_PARAMETERS angstrom
3.5766 -5.1308 0.0000
3.5766 5.1308 0.0000
-0.0091 0.0000 3.2391

# 2
! PBE CuRe3S5, relaxed; values from VASP
! Space group ... P6/mmm, No. 191
! Calculated volume ... 176 Å³/cell
! Total energy ... -58.1 eV for the cell shown
&SYSTEM
  ibrav = 0, nat = 9, ntyp = 3
/
ATOMIC_SPECIES
Cu 63.55 Cu.upf
Re 186.21 Re.upf
S 32.06 S.upf
ATOMIC_POSITIONS crystal
Cu 0.0000 0.0000 0.0000
Re 0.0000 0.5000 0.5000
Re 0.5000 0.0000 0.5000
Re 0.5000 0.5000 0.5000
S 0.0000 0.0000 0.5000
S 0.3333 0.6667 0.2336
S 0.3333 0.6667 0.7664
S 0.6667 0.3333 0.2336
S 0.6667 0.3333 0.7664
CELL_PARAMETERS angstrom
5.4996 0.0000 0.0000
-2.7498 4.7628 0.0000
0.0000 0.0000 6.7209

# 3
! PBE TlCuReSeS2, relaxed; values from VASP
! Space group ... Cmcm, No. 63
! Calculated volume ... 253 Å³/cell
! Total energy ... -61.9 eV for the cell shown
&SYSTEM
  ibrav = 0, nat = 12, ntyp = 5
/
ATOMIC_SPECIES
Tl 204.38 Tl.upf
Cu 63.55 Cu.upf
Re 186.21 Re.upf
Se 78.96 Se.upf
S 32.06 S.upf
ATOMIC_POSITIONS crystal
Tl 0.2421 0.7579 0.7500
Tl 0.7579 0.2421 0.2500
Cu 0.4580 0.5420 0.2500
Cu 0.5420 0.4580 0.7500
Re 0.0000 0.0000 0.0000
Re 0.0000 0.0000 0.5000
Se 0.0724 0.9276 0.2500
Se 0.9276 0.0724 0.7500
S 0.3904 0.6096 0.0409
S 0.3904 0.6096 0.4591
S 0.6096 0.3904 0.5409
S 0.6096 0.3904 0.9591
CELL_PARAMETERS angstrom
1.7803 -7.4259 0.0000
1.7803 7.4259 0.0000
0.0000 0.0000 9.5671

# 4
! PBE TlCuReTeS2, relaxed; values from VASP
! Space group ... Cmcm, No. 63
! Calculated volume ... 274 Å³/cell
! Total energy ... -60.5 eV for the cell shown
&SYSTEM
  ibrav = 0, nat = 12, ntyp = 5
/
ATOMIC_SPECIES
Tl 204.38 Tl.upf
Cu 63.55 Cu.upf
Re 186.21 Re.upf
Te 127.60 Te.upf
S 32.06 S.upf
ATOMIC_POSITIONS crystal
Tl 0.2217 0.7783 0.7500
Tl 0.7783 0.2217 0.2500
Cu 0.4583 0.5417 0.2500
Cu 0.5417 0.4583 0.7500
Re 0.0000 0.0000 0.0000
Re 0.0000 0.0000 0.5000
Te 0.0840 0.9160 0.2500
Te 0.9160 0.0840 0.7500
S 0.3979 0.6021 0.0456
S 0.3979 0.6021 0.4544
S 0.6021 0.3979 0.5456
S 0.6021 0.3979 0.9544
CELL_PARAMETERS angstrom
1.7663 -7.8683 0.0000
1.7663 7.8683 0.0000
0.0000 0.0000 9.8638

# 5
! PBE TlCuReTe2S, relaxed; values from VASP
! Space group ... Cmcm, No. 63
! Calculated volume ... 281 Å³/cell
! Total energy ... -57.0 eV for the cell shown
&SYSTEM
  ibrav = 0, nat = 12, ntyp = 5
/
ATOMIC_SPECIES
Tl 204.38 Tl.upf
Cu 63.55 Cu.upf
Re 186.21 Re.upf
Te 127.60 Te.upf
S 32.06 S.upf
ATOMIC_POSITIONS crystal
Tl 0.2329 0.7671 0.7500
Tl 0.7671 0.2329 0.2500
Cu 0.0145 0.9855 0.2500
Cu 0.9855 0.0145 0.7500
Re 0.5000 0.5000 0.0000
Re 0.5000 0.5000 0.5000
Te 0.1251 0.8749 0.0473
Te 0.1251 0.8749 0.4527
Te 0.8749 0.1251 0.5473
Te 0.8749 0.1251 0.9527
S 0.4378 0.5622 0.2500
S 0.5622 0.4378 0.7500
CELL_PARAMETERS angstrom
1.9227 -7.7119 0.0000
1.9227 7.7119 0.0000
0.0000 0.0000 9.4712

# 6
! PBE TlCuReS3, relaxed; values from VASP
! Space group ... Cmcm, No. 63
! Calculated volume ... 231 Å³/cell
! Total energy ... -63.5 eV for the cell shown
&SYSTEM
  ibrav = 0, nat = 12, ntyp = 4
/
ATOMIC_SPECIES
Tl 204.38 Tl.upf
Cu 63.55 Cu.upf
Re 186.21 Re.upf
S 32.06 S.upf
ATOMIC_POSITIONS crystal
Tl 0.2431 0.7569 0.7500
Tl 0.7569 0.2431 0.2500
Cu 0.0449 0.9551 0.2500
Cu 0.9551 0.0449 0.7500
Re 0.5000 0.5000 0.0000
Re 0.5000 0.5000 0.5000
S 0.1170 0.8830 0.0378
S 0.1170 0.8830 0.4622
S 0.4376 0.5624 0.2500
S 0.5624 0.4376 0.7500
S 0.8830 0.1170 0.5378
S 0.8830 0.1170 0.9622
CELL_PARAMETERS angstrom
1.6744 -7.4210 0.0000
1.6744 7.4210 0.0000
0.0000 0.0000 9.2873

# 7
! PBE TlCuReS3, relaxed; values from VASP
! Space group ... P2_1/m, No. 11
! Calculated volume ... 245 Å³/cell
! Total energy ... -64.4 eV for the cell shown
&SYSTEM
  ibrav = 0, nat = 12, ntyp = 4
/
ATOMIC_SPECIES
Tl 204.38 Tl.upf
Cu 63.55 Cu.upf
Re 186.21 Re.upf
S 32.06 S.upf
ATOMIC_POSITIONS crystal
Tl 0.2216 0.2500 0.2142
Tl 0.7784 0.7500 0.7858
Cu 0.4265 0.2500 0.8882
Cu 0.5735 0.7500 0.1118
Re 0.1930 0.7500 0.6685
Re 0.8070 0.2500 0.3315
S 0.0339 0.7500 0.3888
S 0.2543 0.7500 0.9300
S 0.3876 0.2500 0.6437
S 0.6124 0.7500 0.3563
S 0.7457 0.2500 0.0700
S 0.9661 0.2500 0.6112
CELL_PARAMETERS angstrom
7.6401 0.0000 0.0000
0.0000 3.6285 0.0000
-3.8165 0.0000 8.8240

# 8
! PBE CuRe3Sb5, relaxed; values from VASP
! Space group ... P6/mmm, No. 191
! Calculated volume ... 214 Å³/cell
! Total energy ... -56.4 eV for the cell shown
&SYSTEM
  ibrav = 0, nat = 9, ntyp = 3
/
ATOMIC_SPECIES
Cu 63.55 Cu.upf
Re 186.21 Re.upf
Sb 121.76 Sb.upf
ATOMIC_POSITIONS crystal
Cu 0.0000 0.0000 0.0000
Re 0.0000 0.5000 0.5000
Re 0.5000 0.0000 0.5000
Re 0.5000 0.5000 0.5000
Sb 0.0000 0.0000 0.5000
Sb 0.3333 0.6667 0.2112
Sb 0.3333 0.6667 0.7888
Sb 0.6667 0.3333 0.2112
Sb 0.6667 0.3333 0.7888
CELL_PARAMETERS angstrom
5.4960 0.0000 0.0000
-2.7480 4.7597 0.0000
0.0000 0.0000 8.1617

# 9
! PBE ScCuReSb, relaxed; values from VASP
! Space group ... F-43m, No. 216
! Calculated volume ... 68 Å³/cell
! Total energy ... -26.1 eV for the cell shown
&SYSTEM
  ibrav = 0, nat = 4, ntyp = 4
/
ATOMIC_SPECIES
Sc 44.96 Sc.upf
Cu 63.55 Cu.upf
Re 186.21 Re.upf
Sb 121.76 Sb.upf
ATOMIC_POSITIONS crystal
Sc 0.0000 0.0000 0.0000
Cu 0.7500 0.7500 0.7500
Re 0.2500 0.2500 0.2500
Sb 0.5000 0.5000 0.5000
CELL_PARAMETERS angstrom
0.0000 3.2340 3.2340
3.2340 0.0000 3.2340
3.2340 3.2340 0.0000

# 10
! PBE TaCuReSb, relaxed; values from VASP
! Space group ... F-43m, No. 216
! Calculated volume ... 65 Å³/cell
! Total energy ... -30.3 eV for the cell shown
&SYSTEM
  ibrav = 0, nat = 4, ntyp = 4
/
ATOMIC_SPECIES
Ta 180.95 Ta.upf
Cu 63.55 Cu.upf
Re 186.21 Re.upf
Sb 121.76 Sb.upf
ATOMIC_POSITIONS crystal
Ta 0.0000 0.0000 0.0000
Cu 0.7500 0.7500 0.7500
Re 0.5000 0.5000 0.5000
Sb 0.2500 0.2500 0.2500
CELL_PARAMETERS angstrom
0.0000 3.1944 3.1944
3.1944 0.0000 3.1944
3.1944 3.1944 0.0000

# 11
! PBE TaCuReSb, relaxed; values from VASP
! Space group ... F-43m, No. 216
! Calculated volume ... 66 Å³/cell
! Total energy ... -31.1 eV for the cell shown
&SYSTEM
  ibrav = 0, nat = 4, ntyp = 4
/
ATOMIC_SPECIES
Ta 180.95 Ta.upf
Cu 63.55 Cu.upf
Re 186.21 Re.upf
Sb 121.76 Sb.upf
ATOMIC_POSITIONS crystal
Ta 0.0000 0.0000 0.0000
Cu 0.7500 0.7500 0.7500
Re 0.2500 0.2500 0.2500
Sb 0.5000 0.5000 0.5000
CELL_PARAMETERS angstrom
0.0000 3.2087 3.2087
3.2087 0.0000 3.2087
3.2087 3.2087 0.0000

# 12
! PBE CuReTcSb, relaxed; values from VASP
! Space group ... F-43m, No. 216
! Calculated volume ... 63 Å³/cell
! Total energy ... -28.7 eV for the cell shown
&SYSTEM
  ibrav = 0, nat = 4, ntyp = 4
/
ATOMIC_SPECIES
Cu 63.55 Cu.upf
Re 186.21 Re.upf
Tc 98.00 Tc.upf
Sb 121.76 Sb.upf
ATOMIC_POSITIONS crystal
Cu 0.0000 0.0000 0.0000
Re 0.5000 0.5000 0.5000
Tc 0.2500 0.2500 0.2500
Sb 0.7500 0.7500 0.7500
CELL_PARAMETERS angstrom
0.0000 3.1528 3.1528
3.1528 0.0000 3.1528
3.1528 3.1528 0.0000